# 1
! NdSmB2Pt8 | OQMD via LeMat-Bulk | PBE | optimized geometry; values from VASP
&SYSTEM
  ibrav = 0, nat = 12, ntyp = 4
/
ATOMIC_SPECIES
Nd 144.24 Nd.upf
Sm 150.36 Sm.upf
B 10.81 B.upf
Pt 195.08 Pt.upf
CELL_PARAMETERS angstrom
5.488 0.000 0.000
-2.744 4.753 0.000
0.000 0.000 7.691
ATOMIC_POSITIONS crystal
Nd 0.000 0.000 0.000
Sm 0.000 0.000 0.500
B 0.333 0.667 0.000
B 0.667 0.333 0.000
Pt 0.000 0.500 0.199
Pt 0.000 0.500 0.801
Pt 0.333 0.667 0.500
Pt 0.500 0.000 0.199
Pt 0.500 0.000 0.801
Pt 0.500 0.500 0.199
Pt 0.500 0.500 0.801
Pt 0.667 0.333 0.500
! volume = 16.7 Å³/atom
! total magnetic moment = 0.01 μB per formula unit
! E above lowest polymorph = 1.31 kJ/mol of atoms
! E_tot = -6.72 eV/atom

=====

# 2
! Mg2BeCd | OQMD via LeMat-Bulk | PBE | optimized geometry; values from VASP
&SYSTEM
  ibrav = 0, nat = 4, ntyp = 3
/
ATOMIC_SPECIES
Mg 24.30 Mg.upf
Be 9.01 Be.upf
Cd 112.41 Cd.upf
CELL_PARAMETERS angstrom
0.000 3.279 3.279
3.279 0.000 3.279
3.279 3.279 0.000
ATOMIC_POSITIONS crystal
Mg 0.000 0.000 0.000
Mg 0.250 0.250 0.250
Be 0.500 0.500 0.500
Cd 0.750 0.750 0.750
! volume = 17.6 Å³/atom
! E_tot = -1.67 eV/atom

=====

# 3
! TmCdAg2 | OQMD via LeMat-Bulk | PBE | optimized geometry; values from VASP
&SYSTEM
  ibrav = 0, nat = 8, ntyp = 3
/
ATOMIC_SPECIES
Tm 168.93 Tm.upf
Cd 112.41 Cd.upf
Ag 107.87 Ag.upf
CELL_PARAMETERS angstrom
4.988 0.000 0.000
0.000 6.668 0.000
0.000 0.000 5.001
ATOMIC_POSITIONS crystal
Tm 0.250 0.250 0.199
Tm 0.750 0.750 0.801
Cd 0.250 0.750 0.215
Cd 0.750 0.250 0.785
Ag 0.250 0.502 0.700
Ag 0.250 0.998 0.700
Ag 0.750 0.002 0.300
Ag 0.750 0.498 0.300
! volume = 20.8 Å³/atom
! total magnetic moment = 0.00 μB per formula unit
! E_tot = -3.05 eV/atom

=====

volume of number 1 (NdSmB2Pt8)? 16.7 Å³/atom

=====

Look up the volume of the first one. 16.7 Å³/atom

=====

Which of these has the lowest E_tot? NdSmB2Pt8